Compound: TiBeIr
Source: the Alexandria database
Functional: PBE-GGA
Structure: optimized geometry

Cell: 2.883 4.341 6.543 Å, 90.00 90.00 90.00°
Space group Imm2 (No. 44)
Inequivalent atoms, fractional coordinates:
Ti  0.000  0.000  0.000
Be  0.000  0.500  0.183
Ir  0.000  0.000  0.386

Summary:
uncorrected energy	-21.74	eV per formula unit
N(E_F)	0.79	states/eV/atom
crystal system	orthorhombic
E_form	-420	meV per atom